(1)
# GaCu2Te4Au

An optimized crystal structure of GaCu2Te4Au (GGA-PBE, the Alexandria database).

Computed properties:
Formation energy from raw total energies = -0.1578 eV per atom
Space group = I-42m (121)
Total energy = -3.54 eV per atom

a = 6.115 Å, b = 6.115 Å, c = 7.413 Å
α = 114.35°, β = 114.35°, γ = 90.02°
Atoms (fractional coordinates):
Ga: 0.500 0.500 0.000
Cu: 0.750 0.250 0.500
Cu: 0.250 0.750 0.500
Te: 0.612 0.612 0.731
Te: 0.388 0.881 0.269
Te: 0.881 0.388 0.269
Te: 0.119 0.119 0.731
Au: 0.000 0.000 0.000



(2)
# Th2Ga3Cu4Au

An optimized crystal structure of Th2Ga3Cu4Au (GGA-PBE, the Alexandria database).

Computed properties:
Space group = P-4m2 (115)
Total energy = -4.75 eV per atom

a = 4.293 Å, b = 4.293 Å, c = 9.973 Å
α = 90.00°, β = 90.00°, γ = 90.00°
Atoms (fractional coordinates):
Th: 0.500 0.000 0.242
Th: 0.000 0.500 0.758
Ga: 0.000 0.000 0.500
Ga: 0.500 0.000 0.877
Ga: 0.000 0.500 0.123
Cu: 0.500 0.500 0.000
Cu: 0.000 0.000 0.000
Cu: 0.500 0.000 0.640
Cu: 0.000 0.500 0.360
Au: 0.500 0.500 0.500



(3)
# ThGaCuAu

An optimized crystal structure of ThGaCuAu (GGA-PBE, the Alexandria database).

Computed properties:
Space group = F-43m (216)
Total energy = -4.85 eV per atom

a = 4.882 Å, b = 4.882 Å, c = 4.882 Å
α = 60.00°, β = 60.00°, γ = 60.00°
Atoms (fractional coordinates):
Cu: 0.250 0.250 0.250
Au: 0.750 0.750 0.750
Ga: 0.000 0.000 0.000
Th: 0.500 0.500 0.500



(4)
# Th2Ga3CuAu4

An optimized crystal structure of Th2Ga3CuAu4 (GGA-PBE, the Alexandria database).

Computed properties:
Space group = P-4m2 (115)
Total energy = -4.63 eV per atom

a = 4.458 Å, b = 4.458 Å, c = 10.271 Å
α = 90.00°, β = 90.00°, γ = 90.00°
Atoms (fractional coordinates):
Th: 0.500 0.000 0.253
Th: 0.000 0.500 0.747
Ga: 0.000 0.000 0.500
Ga: 0.500 0.000 0.866
Ga: 0.000 0.500 0.134
Cu: 0.500 0.500 0.500
Au: 0.500 0.500 0.000
Au: 0.000 0.000 0.000
Au: 0.500 0.000 0.625
Au: 0.000 0.500 0.375



(5)
# Tm2Ga4CuAu3

An optimized crystal structure of Tm2Ga4CuAu3 (GGA-PBE, the Alexandria database).

Computed properties:
Space group = P-4m2 (115)
Total energy = -4.02 eV per atom

a = 4.141 Å, b = 4.141 Å, c = 11.167 Å
α = 90.00°, β = 90.00°, γ = 90.00°
Atoms (fractional coordinates):
Tm: 0.500 0.000 0.263
Tm: 0.000 0.500 0.737
Ga: 0.500 0.500 0.000
Ga: 0.000 0.000 0.000
Ga: 0.500 0.000 0.631
Ga: 0.000 0.500 0.369
Cu: 0.500 0.500 0.500
Au: 0.000 0.000 0.500
Au: 0.500 0.000 0.854
Au: 0.000 0.500 0.146



(6)
# Tm2Ga4Cu3Au

An optimized crystal structure of Tm2Ga4Cu3Au (GGA-PBE, the Alexandria database).

Computed properties:
Space group = P-4m2 (115)
Total energy = -4.11 eV per atom

a = 4.089 Å, b = 4.089 Å, c = 10.510 Å
α = 90.00°, β = 90.00°, γ = 90.00°
Atoms (fractional coordinates):
Tm: 0.500 0.000 0.243
Tm: 0.000 0.500 0.757
Ga: 0.500 0.500 0.000
Ga: 0.000 0.000 0.000
Ga: 0.500 0.000 0.645
Ga: 0.000 0.500 0.355
Cu: 0.000 0.000 0.500
Cu: 0.500 0.000 0.868
Cu: 0.000 0.500 0.132
Au: 0.500 0.500 0.500



Number 1: mass density 6.67 g cm⁻³, magnetic moment 0.000 μB/cell. Number 2: mass density 10.16 g cm⁻³, magnetic moment 0.000 μB/cell. Number 3: mass density 11.35 g cm⁻³, magnetic moment 0.000 μB/cell. Number 4: mass density 12.41 g cm⁻³, magnetic moment 0.000 μB/cell. Number 5: mass density 11.02 g cm⁻³, magnetic moment 0.000 μB/cell. Number 6: mass density 9.49 g cm⁻³, magnetic moment 0.000 μB/cell.